First-principles (PBE with a Hubbard U) data for a relaxed Sm2MoO5 crystal, as listed in Alexandria.

Lattice parameters (Å, degrees): 9.7963 6.7176 6.0131 90.00 90.00 90.00
Last column: nearest neighbours and their distance in Å.
Fractional positions:
Sm 0.1725 0.0013 0.0337  8 O 2.41-2.51
Sm 0.1725 0.4987 0.0337  8 O 2.41-2.51
Sm 0.3275 0.5013 0.5337  8 O 2.41-2.51
Sm 0.3275 0.9987 0.5337  8 O 2.41-2.51
Sm 0.6725 0.0013 0.4663  8 O 2.41-2.51
Sm 0.6725 0.4987 0.4663  8 O 2.41-2.51
Sm 0.8275 0.5013 0.9663  8 O 2.41-2.51
Sm 0.8275 0.9987 0.9663  8 O 2.41-2.51
Mo 0.0001 0.2500 0.5530  7 O 2.12-2.25
Mo 0.9999 0.7500 0.4470  7 O 2.12-2.25
Mo 0.5001 0.2500 0.9470  7 O 2.12-2.25
Mo 0.4999 0.7500 0.0530  7 O 2.12-2.25
O 0.0043 0.2500 0.9277  1 Mo 2.25, 4 Sm 2.43
O 0.0866 0.5304 0.6577  2 Mo 2.12-2.16
O 0.0866 0.9696 0.6577  2 Mo 2.12-2.16
O 0.1834 0.2500 0.3446  1 Mo 2.19
O 0.2062 0.7500 0.3236  1 Mo 2.15, 2 Sm 2.41
O 0.2938 0.2500 0.8236  1 Mo 2.15, 2 Sm 2.41
O 0.3166 0.7500 0.8446  1 Mo 2.19
O 0.4134 0.0304 0.1577  2 Mo 2.12-2.16
O 0.4134 0.4696 0.1577  2 Mo 2.12-2.16
O 0.4957 0.7500 0.4277  1 Mo 2.25, 4 Sm 2.43
O 0.5043 0.2500 0.5723  1 Mo 2.25, 4 Sm 2.43
O 0.5866 0.5304 0.8423  2 Mo 2.12-2.16
O 0.5866 0.9696 0.8423  2 Mo 2.12-2.16
O 0.6834 0.2500 0.1554  1 Mo 2.19
O 0.7062 0.7500 0.1764  1 Mo 2.15, 2 Sm 2.41
O 0.7938 0.2500 0.6764  1 Mo 2.15, 2 Sm 2.41
O 0.8166 0.7500 0.6554  1 Mo 2.19
O 0.9134 0.0304 0.3423  2 Mo 2.12-2.16
O 0.9134 0.4696 0.3423  2 Mo 2.12-2.16
O 0.9957 0.7500 0.0723  1 Mo 2.25, 4 Sm 2.43

E = -7.959 eV per atom
D(E_F) = 0.0 states/eV per cell